Entry 1
Computed, not measured: crystalline Ac2CdPd at its relaxed geometry at the PBE level of DFT.

## Properties
V ... 134.8 Å³/cell
Space-group type ... R-3m
Total magnetization ... 0.000 μB/f.u.

Structure (extended XYZ):
```
4
Lattice="3.745 0.000 0.000 1.873 3.244 0.000 1.873 1.081 11.094" Properties=species:S:1:pos:R:3 pbc="T T T"
Cd 3.745 2.162 5.547
Ac 5.618 3.244 2.790
Ac 1.873 1.081 8.304
Pd 0.000 0.000 0.000
```

Entry 2
Computed, not measured: crystalline Ac2CdPd at its relaxed geometry at the PBE level of DFT.

## Properties
V ... 260.1 Å³/cell
Space-group type ... Cmcm
Total magnetization ... 0.000 μB/f.u.

Structure (extended XYZ):
```
8
Lattice="4.017 0.000 -1.138 0.000 8.148 0.000 0.076 0.000 7.926" Properties=species:S:1:pos:R:3 pbc="T T T"
Ac 1.523 8.138 5.376
Ac 1.523 4.083 5.376
Ac 2.570 0.010 1.411
Ac 2.570 4.064 1.411
Cd 0.018 6.111 0.065
Cd 4.075 2.037 6.722
Pd 3.237 2.037 3.767
Pd 0.856 6.111 3.021
```

If we sort the structures by their calculated energies, the order from most to least stable is entry 2, entry 1.